Tb3Tl2Cd4: optimized geometry, PBE-GGA.

Lattice parameters (Å, degrees): 7.617 7.617 4.559 90.00 90.00 120.00
Element x y z (fractional)
Tb (0.000, 0.573, 0.000)
Tb (0.427, 0.427, 0.000)
Tb (0.573, 0.000, 0.000)
Tl (0.333, 0.667, 0.500)
Tl (0.667, 0.333, 0.500)
Cd (0.000, 0.000, 0.000)
Cd (0.000, 0.240, 0.500)
Cd (0.240, 0.000, 0.500)
Cd (0.760, 0.760, 0.500)

Summary:
Crystal system: hexagonal
Offset from the most stable computed form in meV per atom: 0
SG: P-62m
Energy in eV/atom: -2.81



LiPr2Ge: optimized geometry, PBE-GGA.

Lattice parameters (Å, degrees): 4.300 4.300 24.658 90.00 90.00 120.00
Element x y z (fractional)
Li (0.000, 0.000, 0.000)
Li (0.333, 0.667, 0.667)
Li (0.667, 0.333, 0.333)
Pr (0.000, 0.000, 0.233)
Pr (0.000, 0.000, 0.767)
Pr (0.333, 0.667, 0.434)
Pr (0.333, 0.667, 0.899)
Pr (0.667, 0.333, 0.101)
Pr (0.667, 0.333, 0.566)
Ge (0.000, 0.000, 0.500)
Ge (0.333, 0.667, 0.167)
Ge (0.667, 0.333, 0.833)

Summary:
Crystal system: trigonal
SG: R-3m
Energy in eV/atom: -4.25



Pu2SiAs: optimized geometry, PBE-GGA.

Lattice parameters (Å, degrees): 4.942 4.942 12.148 90.00 90.00 120.00
Element x y z (fractional)
Pu (0.000, 0.000, 0.250)
Pu (0.000, 0.000, 0.750)
Pu (0.333, 0.667, 0.417)
Pu (0.333, 0.667, 0.917)
Pu (0.667, 0.333, 0.083)
Pu (0.667, 0.333, 0.583)
Si (0.000, 0.000, 0.000)
Si (0.333, 0.667, 0.667)
Si (0.667, 0.333, 0.333)
As (0.000, 0.000, 0.500)
As (0.333, 0.667, 0.167)
As (0.667, 0.333, 0.833)

Summary:
Crystal system: trigonal
Offset from the most stable computed form in meV per atom: 76
SG: R-3m
Formation energy (no corrections) in eV per atom: -0.476
Energy in eV/atom: -10.16



MgTa2Rh3: optimized geometry, PBE-GGA.

Lattice parameters (Å, degrees): 2.967 2.967 10.756 90.00 90.00 90.00
Element x y z (fractional)
Mg (0.000, 0.000, 0.000)
Ta (0.000, 0.000, 0.325)
Ta (0.000, 0.000, 0.675)
Rh (0.500, 0.500, 0.164)
Rh (0.500, 0.500, 0.500)
Rh (0.500, 0.500, 0.836)

Summary:
Crystal system: tetragonal
SG: P4/mmm
Energy in eV/atom: -8.41